(1)
{"formula": "Ca2ScSe", "functional": "GGA-PBEsol", "state": "relaxed", "lattice": [[-3.2295, -0.6980, 2.1218], [2.8842, -2.2024, 3.6655], [0.5400, 4.5853, 2.3303]], "species": ["Sc", "Se", "Ca", "Ca"], "frac_coords": [[0.5000, 0.5000, 0.0000], [0.5000, 0.0000, 0.5000], [0.0000, 0.0000, 0.0000], [0.0000, 0.5000, 0.5000]], "final_energy_ev_per_cell": -16.22, "formation_energy_uncorrected_mev_per_atom": -374, "total_magnetization_mub_per_cell": 0.00}


(2)
{"formula": "Ca2ScSe", "functional": "GGA-PBEsol", "state": "relaxed", "lattice": [[3.7924, 0.0000, 0.0000], [1.8962, 3.2843, 0.0000], [1.8962, 1.0948, 9.5413]], "species": ["Sc", "Ca", "Se", "Ca"], "frac_coords": [[0.5000, 0.5000, 0.5000], [0.2695, 0.2695, 0.1916], [0.0000, 0.0000, 0.0000], [0.7305, 0.7305, 0.8084]], "final_energy_ev_per_cell": -17.51, "formation_energy_uncorrected_mev_per_atom": -698, "total_magnetization_mub_per_cell": 1.26}


(3)
{"formula": "CaScSe2", "functional": "GGA-PBEsol", "state": "relaxed", "lattice": [[-2.1800, -1.8727, -2.6842], [1.6827, -2.5727, -2.4523], [-1.3016, -6.3242, 2.5887]], "species": ["Se", "Se", "Ca", "Sc"], "frac_coords": [[0.2440, 0.2440, 0.2680], [0.7560, 0.7560, 0.7320], [0.0000, 0.0000, 0.0000], [0.5000, 0.5000, 0.5000]], "final_energy_ev_per_cell": -23.77, "formation_energy_uncorrected_mev_per_atom": -1833, "total_magnetization_mub_per_cell": 0.00}


(4)
{"formula": "CaScSe2", "functional": "GGA-PBEsol", "state": "relaxed", "lattice": [[3.6345, 0.0000, 0.0000], [0.0000, 3.6926, 0.0000], [-1.8173, -1.8463, 6.7154]], "species": ["Se", "Sc", "Se", "Ca"], "frac_coords": [[0.7159, 0.2159, 0.4319], [0.2955, 0.7955, 0.5910], [0.9457, 0.9457, 0.8914], [0.5428, 0.5428, 0.0857]], "final_energy_ev_per_cell": -23.03, "formation_energy_uncorrected_mev_per_atom": -1649, "total_magnetization_mub_per_cell": 0.72}


(5)
{"formula": "CaScSe2", "functional": "GGA-PBEsol", "state": "relaxed", "lattice": [[6.2821, 0.0000, 0.0000], [0.0000, 6.2821, 0.0000], [-3.1410, -3.1410, 6.0939]], "species": ["Ca", "Sc", "Se", "Se", "Se", "Sc", "Ca", "Se"], "frac_coords": [[0.7500, 0.2500, 0.5000], [0.2500, 0.7500, 0.5000], [0.9042, 0.3750, 0.2500], [0.6250, 0.6542, 0.7500], [0.1250, 0.0958, 0.7500], [0.0000, 0.0000, 0.0000], [0.5000, 0.5000, 0.0000], [0.3458, 0.8750, 0.2500]], "final_energy_ev_per_cell": -44.42, "formation_energy_uncorrected_mev_per_atom": -1442, "total_magnetization_mub_per_cell": 0.00}


(6)
{"formula": "CaScSe2", "functional": "GGA-PBEsol", "state": "relaxed", "lattice": [[-4.7927, 0.0987, 1.0005], [-1.7219, -2.3038, 3.9634], [-1.6525, 2.5904, 3.8132]], "species": ["Ca", "Se", "Se", "Sc"], "frac_coords": [[0.0000, 0.0000, 0.0000], [0.2500, 0.2500, 0.2500], [0.7500, 0.7500, 0.7500], [0.5000, 0.5000, 0.5000]], "final_energy_ev_per_cell": -22.20, "formation_energy_uncorrected_mev_per_atom": -1442, "total_magnetization_mub_per_cell": 0.71}


(7)
{"formula": "CaZrScSe2", "functional": "GGA-PBEsol", "state": "relaxed", "lattice": [[-0.7300, -2.8646, -3.7619], [-3.9893, -2.1161, 2.3854], [-3.0921, 3.5006, -2.0657]], "species": ["Sc", "Zr", "Se", "Ca", "Se"], "frac_coords": [[0.5000, 0.0000, 0.0000], [0.5000, 0.5000, 0.5000], [0.0000, 0.0000, 0.5000], [0.0000, 0.0000, 0.0000], [0.0000, 0.5000, 0.0000]], "final_energy_ev_per_cell": -23.29, "formation_energy_uncorrected_mev_per_atom": 448, "total_magnetization_mub_per_cell": 0.00}


(8)
{"formula": "CaSc2Sn", "functional": "GGA-PBEsol", "state": "relaxed", "lattice": [[3.3414, 0.0000, 0.0000], [1.6707, 2.8937, 0.0000], [1.6707, 0.9646, 11.5068]], "species": ["Ca", "Sc", "Sc", "Sn"], "frac_coords": [[0.5000, 0.5000, 0.5000], [0.0839, 0.0839, 0.7482], [0.9161, 0.9161, 0.2518], [0.0000, 0.0000, 0.0000]], "final_energy_ev_per_cell": -18.74, "formation_enthalpy_0k_ev_per_atom": 0.216, "total_magnetization_mub_per_cell": 0.00}